Computed, not measured: a relaxed structure of PmPuBe2O8 at the PBE-GGA level of DFT.

abc: 5.244 5.244 6.691
angles: 90.00 90.00 120.00
Atoms (fractional coordinates):
Pm1 0.000 0.000 0.500
Pu1 0.000 0.000 0.000
Be1 0.333 0.667 0.732
Be2 0.667 0.333 0.268
O1 0.164 0.328 0.803
O2 0.164 0.836 0.803
O3 0.672 0.836 0.803
O4 0.328 0.164 0.197
O5 0.667 0.333 0.507
O6 0.333 0.667 0.493
O7 0.836 0.672 0.197
O8 0.836 0.164 0.197

Total magnetization: 2.53 μB per formula unit
SG: P-3m1, No. 164
ΔE_f (raw): -2.116 eV/atom